No. 1
La5YEr4: optimized geometry, PBE.

abc: 3.698 3.698 24.867
angles: 90.00 90.00 90.00
Positions (direct):
La (0.500, 0.500, 0.102)
La (0.500, 0.500, 0.301)
La (0.500, 0.500, 0.500)
La (0.500, 0.500, 0.699)
La (0.500, 0.500, 0.898)
Y (0.000, 0.000, 0.000)
Er (0.000, 0.000, 0.202)
Er (0.000, 0.000, 0.401)
Er (0.000, 0.000, 0.599)
Er (0.000, 0.000, 0.798)

Values from the calculation:
The calculation puts the energy of formation from the pure elements at 0.027 eV per atom. The excess energy over the best structure of this formula in the dataset comes out at 0.000 eV per atom. The density of states at the Fermi level is 16.7 states/eV/f.u. The magnetic moment comes out at 0.00 μB/cell. The calculation puts the total DFT energy (no corrections) at -4.9086 eV per atom.

No. 2
LaY12Er7: optimized geometry, PBE.

abc: 9.826 9.826 9.826
angles: 109.47 109.47 109.47
Positions (direct):
La (0.000, 0.000, 0.000)
Y (0.485, 0.742, 0.743)
Y (0.999, 0.742, 0.257)
Y (0.515, 0.258, 0.257)
Y (0.001, 0.258, 0.743)
Y (0.743, 0.001, 0.258)
Y (0.743, 0.485, 0.742)
Y (0.257, 0.999, 0.742)
Y (0.257, 0.515, 0.258)
Y (0.742, 0.743, 0.485)
Y (0.258, 0.257, 0.515)
Y (0.742, 0.257, 0.999)
Y (0.258, 0.743, 0.001)
Er (0.500, 0.500, 0.000)
Er (0.000, 0.500, 0.500)
Er (0.500, 0.000, 0.500)
Er (0.500, 0.500, 0.500)
Er (0.000, 0.000, 0.500)
Er (0.500, 0.000, 0.000)
Er (0.000, 0.500, 0.000)

Values from the calculation:
The calculation puts the energy of formation from the pure elements at 0.690 eV per atom. The excess energy over the best structure of this formula in the dataset comes out at 0.463 eV per atom. The density of states at the Fermi level is 25.1 states/eV/f.u. The magnetic moment comes out at 0.00 μB/cell. The calculation puts the total DFT energy (no corrections) at -5.0318 eV per atom.

No. 3
LaYEr2: optimized geometry, PBE.

abc: 3.600 3.600 10.073
angles: 90.00 90.00 90.00
Positions (direct):
Y (0.500, 0.500, 0.500)
La (0.500, 0.500, 0.000)
Er (0.000, 0.000, 0.745)
Er (0.000, 0.000, 0.255)

Values from the calculation:
The calculation puts the energy of formation from the pure elements at 0.037 eV per atom. The excess energy over the best structure of this formula in the dataset comes out at 0.027 eV per atom. The density of states at the Fermi level is 6.9 states/eV/f.u. The magnetic moment comes out at 0.00 μB/cell. The calculation puts the total DFT energy (no corrections) at -5.0925 eV per atom.

No. 4
LaYEr2: optimized geometry, PBE.

abc: 5.722 5.722 5.722
angles: 60.00 60.00 60.00
Positions (direct):
Y (0.000, 0.000, 0.000)
La (0.500, 0.500, 0.500)
Er (0.250, 0.250, 0.250)
Er (0.750, 0.750, 0.750)

Values from the calculation:
The calculation puts the energy of formation from the pure elements at 0.107 eV per atom. The excess energy over the best structure of this formula in the dataset comes out at 0.097 eV per atom. The density of states at the Fermi level is 6.7 states/eV/f.u. The magnetic moment comes out at 0.00 μB/cell. The calculation puts the total DFT energy (no corrections) at -5.0226 eV per atom.

No. 5
LaYEr2: optimized geometry, PBE.

abc: 5.052 5.088 5.088
angles: 90.00 90.00 90.00
Positions (direct):
Y (0.500, 0.000, 0.000)
La (0.500, 0.500, 0.500)
Er (0.000, 0.000, 0.500)
Er (0.000, 0.500, 0.000)

Values from the calculation:
The calculation puts the energy of formation from the pure elements at 0.038 eV per atom. The excess energy over the best structure of this formula in the dataset comes out at 0.028 eV per atom. The density of states at the Fermi level is 6.9 states/eV/f.u. The magnetic moment comes out at 0.00 μB/cell. The calculation puts the total DFT energy (no corrections) at -5.0915 eV per atom.

No. 6
LaYEr5: optimized geometry, PBE.

abc: 7.087 8.833 8.833
angles: 80.17 66.31 66.31
Positions (direct):
La (0.000, 0.000, 0.000)
La (0.500, 0.000, 0.000)
Y (0.750, 0.294, 0.706)
Y (0.250, 0.706, 0.294)
Er (0.467, 0.282, 0.284)
Er (0.750, 0.500, 0.000)
Er (0.967, 0.284, 0.282)
Er (0.750, 0.708, 0.292)
Er (0.750, 0.000, 0.500)
Er (0.250, 0.000, 0.500)
Er (0.250, 0.292, 0.708)
Er (0.033, 0.716, 0.718)
Er (0.250, 0.500, 0.000)
Er (0.533, 0.718, 0.716)

Values from the calculation:
The calculation puts the energy of formation from the pure elements at 0.176 eV per atom. The excess energy over the best structure of this formula in the dataset comes out at 0.000 eV per atom. The density of states at the Fermi level is 11.1 states/eV/f.u. The magnetic moment comes out at 0.00 μB/cell. The calculation puts the total DFT energy (no corrections) at -4.7106 eV per atom.